[1]
Compound: Li4ZnCu2Ge
Source: the Open Quantum Materials Database
Functional: PBE-GGA
Structure: relaxed

abc: 4.2202 4.2202 5.9296
angles: 90.00 90.00 90.00
With the nearest neighbours (Å) after each atom.
Atoms (fractional coordinates):
Cu 0.5000 0.0000 0.7586  2 Ge 2.55, 4 Li 2.55-2.61, 2 Zn 2.61
Li 0.5000 0.0000 0.2504  2 Zn 2.58, 4 Li 2.58, 2 Ge 2.58
Cu 0.0000 0.5000 0.2414  2 Ge 2.55, 4 Li 2.55-2.61, 2 Zn 2.61
Zn 0.5000 0.5000 0.5000  4 Li 2.58, 4 Cu 2.61
Li 0.0000 0.5000 0.7496  4 Li 2.58, 2 Zn 2.58, 2 Ge 2.58
Li 0.0000 0.0000 0.5000  4 Li 2.58, 4 Cu 2.61
Ge 0.0000 0.0000 0.0000  4 Cu 2.55, 4 Li 2.58
Li 0.5000 0.5000 0.0000  4 Cu 2.55, 4 Li 2.58

Properties
Space-group type   P-4m2 (115)
Calculated total energy   -2.85 eV per atom

***

[2]
Compound: LiZrCuGe
Source: the Open Quantum Materials Database
Functional: PBE-GGA
Structure: relaxed

abc: 4.4070 4.4070 4.4070
angles: 60.00 60.00 60.00
With the nearest neighbours (Å) after each atom.
Atoms (fractional coordinates):
Zr 0.5000 0.5000 0.5000  4 Li 2.70, 4 Cu 2.70
Cu 0.7500 0.7500 0.7500  4 Zr 2.70, 4 Ge 2.70
Ge 0.0000 0.0000 0.0000  4 Li 2.70, 4 Cu 2.70
Li 0.2500 0.2500 0.2500  4 Ge 2.70, 4 Zr 2.70

Properties
Space-group type   F-43m (216)
ΔE to the lowest computed polymorph   15 meV per atom

***

[3]
Compound: LiZrCuGe
Source: the Open Quantum Materials Database
Functional: PBE-GGA
Structure: relaxed

abc: 4.4429 4.4429 4.4429
angles: 60.00 60.00 60.00
With the nearest neighbours (Å) after each atom.
Atoms (fractional coordinates):
Ge 0.0000 0.0000 0.0000  4 Cu 2.72, 4 Zr 2.72
Zr 0.2500 0.2500 0.2500  4 Li 2.72, 4 Ge 2.72
Li 0.5000 0.5000 0.5000  4 Cu 2.72, 4 Zr 2.72
Cu 0.7500 0.7500 0.7500  4 Li 2.72, 4 Ge 2.72

Properties
Space-group type   F-43m (216)
ΔE to the lowest computed polymorph   0 meV per atom

***

[4]
Compound: Lu2CuGe
Source: the Open Quantum Materials Database
Functional: PBE-GGA
Structure: relaxed

abc: 4.9112 4.9112 4.9112
angles: 60.00 60.00 60.00
With the nearest neighbours (Å) after each atom.
Atoms (fractional coordinates):
Lu 0.0000 0.0000 0.0000  4 Lu 3.01, 4 Cu 3.01
Cu 0.2500 0.2500 0.2500  4 Ge 3.01, 4 Lu 3.01
Lu 0.7500 0.7500 0.7500  4 Lu 3.01, 4 Ge 3.01
Ge 0.5000 0.5000 0.5000  4 Lu 3.01, 4 Cu 3.01

Properties
Space-group type   F-43m (216)
Calculated total energy   -4.24 eV per atom

***

[5]
Compound: LuCu2Ge
Source: the Open Quantum Materials Database
Functional: PBE-GGA
Structure: relaxed

abc: 4.5254 4.5254 4.5254
angles: 60.00 60.00 60.00
With the nearest neighbours (Å) after each atom.
Atoms (fractional coordinates):
Cu 0.7500 0.7500 0.7500  4 Ge 2.77, 4 Cu 2.77
Ge 0.5000 0.5000 0.5000  4 Cu 2.77, 4 Lu 2.77
Lu 0.2500 0.2500 0.2500  4 Cu 2.77, 4 Ge 2.77
Cu 0.0000 0.0000 0.0000  4 Lu 2.77, 4 Cu 2.77

Properties
Space-group type   F-43m (216)
Calculated total energy   -4.38 eV per atom

***

[6]
Compound: LuCuGe2
Source: the Open Quantum Materials Database
Functional: PBE-GGA
Structure: relaxed

abc: 4.7297 4.7297 4.7297
angles: 60.00 60.00 60.00
With the nearest neighbours (Å) after each atom.
Atoms (fractional coordinates):
Lu 0.5000 0.5000 0.5000  4 Cu 2.90, 4 Ge 2.90
Ge 0.0000 0.0000 0.0000  4 Ge 2.90, 4 Cu 2.90
Cu 0.2500 0.2500 0.2500  4 Lu 2.90, 4 Ge 2.90
Ge 0.7500 0.7500 0.7500  4 Ge 2.90, 4 Lu 2.90

Properties
Space-group type   F-43m (216)
Calculated total energy   -4.47 eV per atom

***

[7]
Compound: LuMgCuGe
Source: the Open Quantum Materials Database
Functional: PBE-GGA
Structure: relaxed

abc: 4.7312 4.7312 4.7312
angles: 60.00 60.00 60.00
With the nearest neighbours (Å) after each atom.
Atoms (fractional coordinates):
Lu 0.2500 0.2500 0.2500  4 Mg 2.90, 4 Ge 2.90
Mg 0.5000 0.5000 0.5000  4 Cu 2.90, 4 Lu 2.90
Ge 0.0000 0.0000 0.0000  4 Cu 2.90, 4 Lu 2.90
Cu 0.7500 0.7500 0.7500  4 Mg 2.90, 4 Ge 2.90

Properties
Space-group type   F-43m (216)
ΔE to the lowest computed polymorph   0 meV per atom

***

[8]
Compound: LuMgCuGe
Source: the Open Quantum Materials Database
Functional: PBE-GGA
Structure: relaxed

abc: 4.7311 4.7311 4.7311
angles: 60.00 60.00 60.00
With the nearest neighbours (Å) after each atom.
Atoms (fractional coordinates):
Mg 0.2500 0.2500 0.2500  4 Lu 2.90, 4 Ge 2.90
Ge 0.0000 0.0000 0.0000  4 Mg 2.90, 4 Cu 2.90
Lu 0.5000 0.5000 0.5000  4 Cu 2.90, 4 Mg 2.90
Cu 0.7500 0.7500 0.7500  4 Lu 2.90, 4 Ge 2.90

Properties
Space-group type   F-43m (216)
ΔE to the lowest computed polymorph   45 meV per atom